# MgGa2O4 (GGA-PBE, optimized geometry)
data_MgGa2O4
_cell_length_a 5.9488
_cell_length_b 5.9488
_cell_length_c 5.9488
_cell_angle_alpha 60.17
_cell_angle_beta 60.17
_cell_angle_gamma 60.17
_space_group_name_H-M_alt 'P 1'
_space_group_IT_number 1
loop_
_space_group_symop_operation_xyz
'x,y,z'
loop_
_atom_site_label
_atom_site_fract_x
_atom_site_fract_y
_atom_site_fract_z
_atom_site_occupancy
O1 0.7462 0.7462 0.2729 1
O2 0.2578 0.2578 0.2578 1
O3 0.7181 0.2547 0.2547 1
O4 0.7462 0.2729 0.7462 1
O5 0.2729 0.7462 0.7462 1
O6 0.7453 0.7453 0.7453 1
O7 0.2547 0.2547 0.7181 1
O8 0.2547 0.7181 0.2547 1
Mg1 0.1210 0.1210 0.1210 1
Mg2 0.4982 0.4982 0.4982 1
Ga1 0.4970 0.4970 0.0103 1
Ga2 0.0103 0.4970 0.4970 1
Ga3 0.8804 0.8804 0.8804 1
Ga4 0.4970 0.0103 0.4970 1
# Density of states at the Fermi level = 0.00 states/eV/atom
# Raw formation energy = -2.12 eV/atom
# Size of the total moment = 0.00 Bohr magnetons per cell

***

# EuGeCl2 (GGA-PBE, optimized geometry)
data_EuGeCl2
_cell_length_a 5.4303
_cell_length_b 5.4303
_cell_length_c 4.8926
_cell_angle_alpha 56.29
_cell_angle_beta 56.29
_cell_angle_gamma 60.00
_space_group_name_H-M_alt 'P 1'
_space_group_IT_number 1
loop_
_space_group_symop_operation_xyz
'x,y,z'
loop_
_atom_site_label
_atom_site_fract_x
_atom_site_fract_y
_atom_site_fract_z
_atom_site_occupancy
Eu1 0.0000 0.0000 0.0000 1
Cl1 0.2711 0.2711 0.1867 1
Cl2 0.7289 0.7289 0.8133 1
Ge1 0.5000 0.5000 0.5000 1
# Density of states at the Fermi level = 0.49 states/eV/atom
# Raw formation energy = -0.99 eV/atom
# Size of the total moment = 6.87 Bohr magnetons per cell